[1]
Below is an optimized crystal structure of BaSc2Cl, with properties calculated at the PBE level.

a = 3.5555 Å, b = 6.0867 Å, c = 10.3628 Å
α = 90.00°, β = 90.00°, γ = 90.00°
Last column: nearest neighbours and their distance in Å.
Element x y z (fractional)
Ba (0.0000, 0.0000, 0.0000)  6 Ba 3.52-3.56, 4 Sc 3.57
Ba (0.5000, 0.5000, 0.0000)  6 Ba 3.52-3.56, 4 Sc 3.57
Sc (0.0000, 0.5000, 0.2990)  2 Cl 2.74
Sc (0.0000, 0.5000, 0.7010)  2 Cl 2.74
Sc (0.5000, 0.0000, 0.2990)  2 Cl 2.74
Sc (0.5000, 0.0000, 0.7010)  2 Cl 2.74
Cl (0.0000, 0.0000, 0.5000)  4 Sc 2.74
Cl (0.5000, 0.5000, 0.5000)  4 Sc 2.74

Output
**Space group**: No. 65
**Raw total energy**: -0.159 hartree per atom



[2]
Below is an optimized crystal structure of Ni2HPb, with properties calculated at the PBE level.

a = 5.1688 Å, b = 5.1688 Å, c = 7.7166 Å
α = 90.00°, β = 90.00°, γ = 90.00°
Last column: nearest neighbours and their distance in Å.
Element x y z (fractional)
Ni (0.0487, 0.2500, 0.1250)  2 H 1.63
Ni (0.2500, 0.5487, 0.3750)  2 H 1.63
Ni (0.2500, 0.9513, 0.8750)  2 H 1.63
Ni (0.4513, 0.2500, 0.6250)  2 H 1.63
Ni (0.5487, 0.7500, 0.6250)  2 H 1.63
Ni (0.7500, 0.0487, 0.8750)  2 H 1.63
Ni (0.7500, 0.4513, 0.3750)  2 H 1.63
Ni (0.9513, 0.7500, 0.1250)  2 H 1.63
H (0.0000, 0.0000, 0.0000)  4 Ni 1.63
H (0.0000, 0.5000, 0.2500)  4 Ni 1.63
H (0.5000, 0.0000, 0.7500)  4 Ni 1.63
H (0.5000, 0.5000, 0.5000)  4 Ni 1.63
Pb (0.0000, 0.0000, 0.5000)  4 Ni 2.84
Pb (0.0000, 0.5000, 0.7500)  4 Ni 2.84
Pb (0.5000, 0.0000, 0.2500)  4 Ni 2.84
Pb (0.5000, 0.5000, 0.0000)  4 Ni 2.84

Output
**Space group**: No. 122
**Raw total energy**: -0.168 hartree per atom



[3]
Below is an optimized crystal structure of Ba2Y2Bi2S, with properties calculated at the PBE level.

a = 5.2471 Å, b = 5.2471 Å, c = 18.1223 Å
α = 90.00°, β = 90.00°, γ = 90.00°
Last column: nearest neighbours and their distance in Å.
Element x y z (fractional)
Ba (0.0000, 0.0000, 0.1737)  1 S 3.15
Ba (0.0000, 0.0000, 0.8263)  1 S 3.15
Ba (0.5000, 0.5000, 0.3263)  1 S 3.15
Ba (0.5000, 0.5000, 0.6737)  1 S 3.15
Y (0.0000, 0.5000, 0.0000)  2 S 2.62
Y (0.0000, 0.5000, 0.5000)  2 S 2.62
Y (0.5000, 0.0000, 0.0000)  2 S 2.62
Y (0.5000, 0.0000, 0.5000)  2 S 2.62
Bi (0.0000, 0.0000, 0.3791)  4 Y 3.42, 1 Ba 3.72
Bi (0.0000, 0.0000, 0.6209)  4 Y 3.42, 1 Ba 3.72
Bi (0.5000, 0.5000, 0.1209)  4 Y 3.42, 1 Ba 3.72
Bi (0.5000, 0.5000, 0.8791)  4 Y 3.42, 1 Ba 3.72
S (0.0000, 0.0000, 0.0000)  4 Y 2.62
S (0.5000, 0.5000, 0.5000)  4 Y 2.62

Output
**Space group**: No. 139
**Raw total energy**: -0.193 hartree per atom



[4]
Below is an optimized crystal structure of AlCoH2, with properties calculated at the PBE level.

a = 3.8695 Å, b = 3.8695 Å, c = 8.2775 Å
α = 90.00°, β = 90.00°, γ = 90.00°
Last column: nearest neighbours and their distance in Å.
Element x y z (fractional)
Al (0.0000, 0.0000, 0.0000)  4 H 1.85
Al (0.0000, 0.5000, 0.2500)  4 H 1.85
Al (0.5000, 0.0000, 0.7500)  4 H 1.85
Al (0.5000, 0.5000, 0.5000)  4 H 1.85
Co (0.0000, 0.0000, 0.5000)  4 H 1.60
Co (0.0000, 0.5000, 0.7500)  4 H 1.60
Co (0.5000, 0.0000, 0.2500)  4 H 1.60
Co (0.5000, 0.5000, 0.0000)  4 H 1.60
H (0.1938, 0.2500, 0.6250)  2 Co 1.60
H (0.2500, 0.6938, 0.8750)  2 Co 1.60
H (0.2500, 0.8062, 0.3750)  2 Co 1.60
H (0.3062, 0.2500, 0.1250)  2 Co 1.60
H (0.6938, 0.7500, 0.1250)  2 Co 1.60
H (0.7500, 0.1938, 0.3750)  2 Co 1.60
H (0.7500, 0.3062, 0.8750)  2 Co 1.60
H (0.8062, 0.7500, 0.6250)  2 Co 1.60

Output
**Space group**: No. 122
**Raw total energy**: -0.159 hartree per atom